Entry from the Alexandria database: an optimized crystal structure of BaUS3 (PBE-GGA).

Computed properties:
Uncorrected energy (eV per atom): -6.836
DOS(E_F) (states/eV/cell): 27.01
Space-group type: Pnma
Calculated volume (A^3/atom): 28.261

a = 7.489 Å, b = 10.395 Å, c = 7.260 Å
α = 90.00°, β = 90.00°, γ = 90.00°
Fractional coordinates of all 20 atoms:
Ba1 0.056 0.250 0.015
Ba2 0.444 0.750 0.515
Ba3 0.556 0.250 0.485
Ba4 0.944 0.750 0.985
U1 0.000 0.000 0.500
U2 0.000 0.500 0.500
U3 0.500 0.000 0.000
U4 0.500 0.500 0.000
S1 0.021 0.750 0.418
S2 0.207 0.544 0.793
S3 0.207 0.956 0.793
S4 0.293 0.044 0.293
S5 0.293 0.456 0.293
S6 0.479 0.250 0.918
S7 0.521 0.750 0.082
S8 0.707 0.544 0.707
S9 0.707 0.956 0.707
S10 0.793 0.044 0.207
S11 0.793 0.456 0.207
S12 0.979 0.250 0.582